Record 1
## Al3Ge (PBE-GGA)

Data for a geometry-optimized Al3Ge structure.

Lattice parameters (Å, degrees): 3.4196 4.5431 4.5146 90.00 90.00 90.00
With the nearest neighbours (Å) after each atom.
Space group Pmm2 (No. 25)
Inequivalent atoms, fractional coordinates:
Al (0.0000, 0.0000, 0.0000) [1 per cell]  6 Al 2.83-2.84, 4 Ge 2.90
Al (0.0000, 0.5000, 0.3779) [1 per cell]  4 Ge 2.81-2.85, 6 Al 2.84-2.90
Al (0.5000, 0.0000, 0.4991) [1 per cell]  2 Ge 2.83, 8 Al 2.83-2.90
Ge (0.5000, 0.5000, 0.8722) [1 per cell]  10 Al 2.81-2.90

Output
Energy of formation   0.121 eV/atom


Record 2
## Co2CuCl (PBE-GGA)

Data for a geometry-optimized Co2CuCl structure.

Lattice parameters (Å, degrees): 6.3900 6.3900 5.4228 90.00 90.00 90.00
With the nearest neighbours (Å) after each atom.
Space group I-42d (No. 122)
Inequivalent atoms, fractional coordinates:
Co (0.2166, 0.2500, 0.1250) [8 per cell]  2 Cl 2.22
Cu (0.0000, 0.0000, 0.5000) [4 per cell]  4 Co 2.51, 2 Cl 2.71
Cl (0.0000, 0.0000, 0.0000) [4 per cell]  4 Co 2.22

Output
Energy above the most stable polymorph in this dataset   0.524 eV per atom


Record 3
## Ce2IrPb (PBE-GGA)

Data for a geometry-optimized Ce2IrPb structure.

Lattice parameters (Å, degrees): 3.9961 3.9961 24.7034 90.00 90.00 120.00
With the nearest neighbours (Å) after each atom.
Space group R-3m (No. 166, hexagonal axes)
Inequivalent atoms, fractional coordinates:
Ce (0.0000, 0.0000, 0.2320) [6 per cell]  3 Ir 2.82
Ir (0.0000, 0.0000, 0.5000) [3 per cell]  6 Ce 2.82
Pb (0.0000, 0.0000, 0.0000) [3 per cell]  6 Ce 3.40

Output
Energy of formation   -0.530 eV/atom
Energy above the most stable polymorph in this dataset   0.031 eV per atom


Record 4
## LaHgH (PBE-GGA)

Data for a geometry-optimized LaHgH structure.

Lattice parameters (Å, degrees): 3.9723 3.9723 4.9967 90.00 90.00 120.00
With the nearest neighbours (Å) after each atom.
Space group P-6m2 (No. 187)
Inequivalent atoms, fractional coordinates:
La (0.0000, 0.0000, 0.0000) [1 per cell]  3 H 2.29
Hg (0.3333, 0.6667, 0.5000) [1 per cell]  6 La 3.39, 6 H 3.39
H (0.6667, 0.3333, 0.0000) [1 per cell]  3 La 2.29

Output
Energy above the most stable polymorph in this dataset   0.163 eV per atom


Record 5
## Zn2FeCu2 (PBE-GGA)

Data for a geometry-optimized Zn2FeCu2 structure.

Lattice parameters (Å, degrees): 7.0281 7.0281 2.6916 90.00 90.00 90.00
With the nearest neighbours (Å) after each atom.
Space group P4/mbm (No. 127)
Inequivalent atoms, fractional coordinates:
Zn (0.1720, 0.3280, 0.0000) [4 per cell]  6 Cu 2.41-2.51, 2 Zn 2.69
Fe (0.0000, 0.0000, 0.5000) [2 per cell]  2 Fe 2.69, 4 Cu 2.77, 8 Zn 2.93
Cu (0.1266, 0.6266, 0.5000) [4 per cell]  6 Zn 2.41-2.51, 3 Cu 2.52-2.69

Output
Energy of formation   0.129 eV/atom
Energy above the most stable polymorph in this dataset   0.000 eV per atom


Record 6
## YSc3C (PBE-GGA)

Data for a geometry-optimized YSc3C structure.

Lattice parameters (Å, degrees): 4.7188 4.7188 4.7188 90.00 90.00 90.00
With the nearest neighbours (Å) after each atom.
Space group Pm-3m (No. 221)
Inequivalent atoms, fractional coordinates:
Y (0.0000, 0.0000, 0.0000) [1 per cell]  12 Sc 3.34
Sc (0.0000, 0.5000, 0.5000) [3 per cell]  2 C 2.36
C (0.5000, 0.5000, 0.5000) [1 per cell]  6 Sc 2.36

Output
Energy of formation   -0.094 eV/atom
Energy above the most stable polymorph in this dataset   0.000 eV per atom


Record 7
## CaTmRh (PBE-GGA)

Data for a geometry-optimized CaTmRh structure.

Lattice parameters (Å, degrees): 19.1195 4.8859 7.4795 90.00 91.92 90.00
With the nearest neighbours (Å) after each atom.
Space group C2/m (No. 12)
Inequivalent atoms, fractional coordinates:
Ca (0.0704, 0.0000, 0.3110) [4 per cell]  4 Rh 3.32-3.35, 2 Tm 3.39-3.41
Ca (0.0827, 0.5000, 0.8415) [4 per cell]  2 Rh 2.86-2.87
Tm (0.2073, 0.0000, 0.6160) [4 per cell]  4 Rh 2.71-2.81
Tm (0.2307, 0.0000, 0.1292) [4 per cell]  3 Rh 2.70-2.89
Rh (0.1586, 0.5000, 0.5182) [4 per cell]  3 Tm 2.71-2.78, 1 Rh 2.71, 1 Ca 2.86
Rh (0.1721, 0.5000, 0.1583) [4 per cell]  4 Tm 2.70-2.89, 1 Rh 2.71, 1 Ca 2.87

Output
Energy of formation   -0.439 eV/atom
Energy above the most stable polymorph in this dataset   0.082 eV per atom


Record 8
## TbGa12Pt6 (PBE-GGA)

Data for a geometry-optimized TbGa12Pt6 structure.

Lattice parameters (Å, degrees): 11.4275 11.4275 8.8039 90.00 90.00 120.00
With the nearest neighbours (Å) after each atom.
Space group R-3m (No. 166, hexagonal axes)
Inequivalent atoms, fractional coordinates:
Tb (0.0000, 0.0000, 0.0000) [3 per cell]  6 Ga 3.19
Ga (0.0000, 0.3891, 0.5000) [18 per cell]  4 Pt 2.52-2.67, 3 Ga 2.54-2.78
Ga (0.0837, 0.1673, 0.3093) [18 per cell]  4 Pt 2.60-2.83, 4 Ga 2.78-2.87
Pt (0.0461, 0.5230, 0.2388) [18 per cell]  7 Ga 2.52-2.68

Output
Energy of formation   -0.557 eV/atom


Record 9
## Y3Tm4Co4 (PBE-GGA)

Data for a geometry-optimized Y3Tm4Co4 structure.

Lattice parameters (Å, degrees): 3.6162 8.6874 15.3891 90.00 90.00 90.00
With the nearest neighbours (Å) after each atom.
Space group Immm (No. 71)
Inequivalent atoms, fractional coordinates:
Y (0.0000, 0.0000, 0.0000) [2 per cell]  4 Co 3.08
Y (0.0000, 0.5000, 0.1044) [4 per cell]  6 Co 2.90-3.05, 1 Y 3.21
Tm (0.0000, 0.3141, 0.3338) [8 per cell]  3 Co 2.70-2.73
Co (0.0000, 0.0000, 0.2482) [4 per cell]  6 Tm 2.73-3.03, 2 Y 2.90
Co (0.0000, 0.2132, 0.5000) [4 per cell]  2 Tm 2.70

Output
Energy of formation   -0.126 eV/atom


Record 10
## BaAsH3O5 (PBE-GGA)

Data for a geometry-optimized BaAsH3O5 structure.

Lattice parameters (Å, degrees): 7.9698 8.7887 14.8819 90.00 90.00 90.00
With the nearest neighbours (Å) after each atom.
Space group Pbca (No. 61)
Inequivalent atoms, fractional coordinates:
Ba (0.1373, 0.1847, 0.0826) [8 per cell]  7 O 2.73-2.95, 1 H 2.87
As (0.1510, 0.0617, 0.3849) [8 per cell]  4 O 1.70-1.79
H (0.0498, 0.6764, 0.6319) [8 per cell]  1 O 1.00
H (0.0978, 0.5987, 0.7260) [8 per cell]  1 O 1.00
H (0.2230, 0.7420, 0.8084) [8 per cell]  1 O 1.01
O (0.0088, 0.6642, 0.0675) [8 per cell]  1 As 1.71, 1 H 1.73
O (0.0894, 0.6103, 0.8419) [8 per cell]  2 H 1.65-1.73, 1 As 1.71
O (0.1216, 0.5967, 0.6602) [8 per cell]  2 H 1.00
O (0.1846, 0.5559, 0.4580) [8 per cell]  1 As 1.70
O (0.2141, 0.1648, 0.2865) [8 per cell]  1 H 1.01

Output
Uncorrected energy   -5.761 eV per atom


Record 11
## Al2BOs2 (PBE-GGA)

Data for a geometry-optimized Al2BOs2 structure.

Lattice parameters (Å, degrees): 5.7352 5.7352 3.9657 90.00 90.00 90.00
With the nearest neighbours (Å) after each atom.
Space group P4/mbm (No. 127)
Inequivalent atoms, fractional coordinates:
Al (0.1517, 0.3483, 0.0000) [4 per cell]  2 B 2.18
B (0.0000, 0.0000, 0.0000) [2 per cell]  4 Al 2.18
Os (0.1678, 0.6678, 0.5000) [4 per cell]  6 Al 2.46-2.70, 1 Os 2.72

Output
Energy of formation   0.510 eV/atom
Energy above the most stable polymorph in this dataset   0.737 eV per atom


Record 12
## In2SeCl (PBE-GGA)

Data for a geometry-optimized In2SeCl structure.

Lattice parameters (Å, degrees): 3.7006 4.6902 11.9961 90.00 90.00 90.00
With the nearest neighbours (Å) after each atom.
Space group Imm2 (No. 44)
Inequivalent atoms, fractional coordinates:
In (0.0000, 0.0000, 0.0000) [2 per cell]  2 Se 2.86, 4 Cl 3.02
In (0.0000, 0.5000, 0.2712) [2 per cell]  4 Se 3.18, 2 Cl 3.31, 2 In 3.31
Se (0.0000, 0.5000, 0.6814) [2 per cell]  6 In 2.86-3.18
Cl (0.0000, 0.0000, 0.4654) [2 per cell]  6 In 3.02-3.31

Output
Energy above the most stable polymorph in this dataset   0.112 eV per atom


Record 13
## LiCoGe2 (PBE-GGA)

Data for a geometry-optimized LiCoGe2 structure.

Lattice parameters (Å, degrees): 3.9026 3.9026 3.5265 90.00 90.00 90.00
With the nearest neighbours (Å) after each atom.
Space group P4/mmm (No. 123)
Inequivalent atoms, fractional coordinates:
Li (0.0000, 0.0000, 0.0000) [1 per cell]  8 Ge 2.63, 4 Co 2.76
Co (0.5000, 0.5000, 0.0000) [1 per cell]  8 Ge 2.63, 4 Li 2.76
Ge (0.0000, 0.5000, 0.5000) [2 per cell]  4 Li 2.63, 4 Co 2.63, 4 Ge 2.76

Output
Energy of formation   -0.027 eV/atom
Energy above the most stable polymorph in this dataset   0.166 eV per atom


Record 14
## H2PbCl (PBE-GGA)

Data for a geometry-optimized H2PbCl structure.

Lattice parameters (Å, degrees): 4.6537 4.6537 12.6111 90.00 90.00 90.00
With the nearest neighbours (Å) after each atom.
Space group I4_1/amd (No. 141, origin choice 2)
Inequivalent atoms, fractional coordinates:
H (0.0000, 0.0000, 0.0000) [8 per cell]  2 Pb 1.96
Pb (0.0000, 0.2500, 0.8750) [4 per cell]  4 H 1.96
Cl (0.0000, 0.2500, 0.3750) [4 per cell]  8 H 3.04, 4 Pb 3.29

Output
Energy above the most stable polymorph in this dataset   0.300 eV per atom


Record 15
## La12Dy5Y2 (PBE-GGA)

Data for a geometry-optimized La12Dy5Y2 structure.

Lattice parameters (Å, degrees): 19.6074 7.6954 10.0640 90.00 118.65 90.00
With the nearest neighbours (Å) after each atom.
Space group C2/m (No. 12)
Inequivalent atoms, fractional coordinates:
La (0.0012, 0.0000, 0.2967) [4 per cell]  1 Dy 2.98, 2 Y 3.10
La (0.0166, 0.5000, 0.8608) [4 per cell]  3 La 3.17-3.24
La (0.1591, 0.2486, 0.3451) [8 per cell]  5 La 3.43-3.83, 4 Dy 3.67-3.84
La (0.1619, 0.2317, 0.9870) [8 per cell]  5 La 3.24-3.63
Dy (0.0000, 0.0000, 0.0000) [2 per cell]  2 La 2.98
Dy (0.1759, 0.0000, 0.6710) [4 per cell]  10 La 3.64-3.97, 2 Y 3.82, 2 Dy 3.85
Dy (0.1813, 0.5000, 0.6910) [4 per cell]  2 Y 3.48, 8 La 3.69-3.83, 2 Dy 3.85
Y (0.0000, 0.3018, 0.5000) [4 per cell]  1 Y 3.05, 2 La 3.10

Output
Energy of formation   0.157 eV/atom
Energy above the most stable polymorph in this dataset   0.060 eV per atom


Record 16
## Tm4Bi3Te (PBE-GGA)

Data for a geometry-optimized Tm4Bi3Te structure.

Lattice parameters (Å, degrees): 8.7994 12.4394 4.4063 90.00 90.00 90.00
With the nearest neighbours (Å) after each atom.
Space group Cmmm (No. 65)
Inequivalent atoms, fractional coordinates:
Tm (0.0000, 0.2489, 0.0000) [4 per cell]  5 Bi 3.10-3.11, 1 Te 3.12
Tm (0.2473, 0.0000, 0.5000) [4 per cell]  4 Bi 3.10-3.11, 2 Te 3.13
Bi (0.0000, 0.0000, 0.0000) [2 per cell]  6 Tm 3.10
Bi (0.2500, 0.2500, 0.5000) [4 per cell]  6 Tm 3.11
Te (0.0000, 0.5000, 0.0000) [2 per cell]  6 Tm 3.12-3.13

Output
Energy above the most stable polymorph in this dataset   0.000 eV per atom


Record 17
## TiNbB (PBE-GGA)

Data for a geometry-optimized TiNbB structure.

Lattice parameters (Å, degrees): 10.2798 3.1789 5.7503 90.00 116.97 90.00
With the nearest neighbours (Å) after each atom.
Space group C2/m (No. 12)
Inequivalent atoms, fractional coordinates:
Ti (0.0241, 0.0000, 0.2689) [4 per cell]  4 B 2.27-2.38
Nb (0.2153, 0.5000, 0.7633) [4 per cell]  3 B 2.38-2.42
B (0.0936, 0.5000, 0.0374) [4 per cell]  1 B 1.77

Output
Energy of formation   -0.411 eV/atom
Energy above the most stable polymorph in this dataset   0.000 eV per atom


Record 18
## VHgN (PBE-GGA)

Data for a geometry-optimized VHgN structure.

Lattice parameters (Å, degrees): 2.7989 2.8025 5.9893 90.00 94.74 90.00
With the nearest neighbours (Å) after each atom.
Space group P2/m (No. 10)
Inequivalent atoms, fractional coordinates:
V (0.0000, 0.0000, 0.0000) [1 per cell]  4 N 1.98
Hg (0.0000, 0.0000, 0.5000) [1 per cell]  4 Hg 2.80, 2 V 2.99
N (0.5000, 0.5000, 0.0000) [1 per cell]  4 V 1.98

Output
Energy above the most stable polymorph in this dataset   0.000 eV per atom


Record 19
## La2Pr5Sn4 (PBE-GGA)

Data for a geometry-optimized La2Pr5Sn4 structure.

Lattice parameters (Å, degrees): 4.7151 10.1063 18.7238 90.00 90.00 90.00
With the nearest neighbours (Å) after each atom.
Space group Immm (No. 71)
Inequivalent atoms, fractional coordinates:
La (0.0000, 0.0000, 0.1154) [4 per cell]  3 Sn 3.17-3.25, 4 Pr 3.20-3.30
Pr (0.0000, 0.3113, 0.1691) [8 per cell]  3 Sn 3.15-3.24, 1 La 3.30
Pr (0.0000, 0.5000, 0.5000) [2 per cell]  4 La 3.20, 4 Sn 3.39
Sn (0.0000, 0.0000, 0.2848) [4 per cell]  4 Pr 3.15, 1 La 3.17
Sn (0.0000, 0.2408, 0.0000) [4 per cell]  4 Pr 3.24-3.39, 2 La 3.25

Output
Energy of formation   -0.050 eV/atom


Record 20
## Tb2HoErS4 (PBE-GGA)

Data for a geometry-optimized Tb2HoErS4 structure.

Lattice parameters (Å, degrees): 6.7639 3.8652 6.7899 90.00 109.05 90.00
With the nearest neighbours (Å) after each atom.
Space group P2/m (No. 10)
Inequivalent atoms, fractional coordinates:
Tb (0.0000, 0.0000, 0.0000) [1 per cell]  6 S 2.78
Tb (0.5000, 0.5000, 0.0000) [1 per cell]  6 S 2.77-2.78
Ho (0.0000, 0.5000, 0.5000) [1 per cell]  6 S 2.74
Er (0.5000, 0.0000, 0.5000) [1 per cell]  6 S 2.73-2.74
S (0.2492, 0.0000, 0.7451) [2 per cell]  1 Er 2.74, 2 Ho 2.74, 3 Tb 2.77-2.78
S (0.2528, 0.5000, 0.2556) [2 per cell]  2 Er 2.73, 1 Ho 2.74, 3 Tb 2.78

Output
Uncorrected energy   -6.349 eV per atom


Record 21
## CaPRu3 (PBE-GGA)

Data for a geometry-optimized CaPRu3 structure.

Lattice parameters (Å, degrees): 4.4387 4.4387 4.4387 90.00 90.00 90.00
With the nearest neighbours (Å) after each atom.
Space group Pm-3m (No. 221)
Inequivalent atoms, fractional coordinates:
Ca (0.0000, 0.0000, 0.0000) [1 per cell]  12 Ru 3.14
P (0.5000, 0.5000, 0.5000) [1 per cell]  6 Ru 2.22
Ru (0.0000, 0.5000, 0.5000) [3 per cell]  2 P 2.22

Output
Energy of formation   -0.036 eV/atom
Energy above the most stable polymorph in this dataset   0.000 eV per atom


no.,theoretical density (g cm⁻³)
1,3.636
2,6.505
3,9.911
4,8.281
5,7.838
6,3.726
7,5.934
8,10.838
9,8.094
10,3.763
11,11.336
12,5.488
13,6.528
14,5.950
15,6.622
16,9.849
17,6.012
18,9.418
19,5.424
20,7.702
21,7.107